No. 1
Here is a relaxed MgTcHg2 crystal from the Alexandria database. Energies are from PBE. Values from VASP.

Geometry as Quantum ESPRESSO input:
```
&SYSTEM
  ibrav = 0, nat = 4, ntyp = 3
/
ATOMIC_SPECIES
Hg 200.59 Hg.upf
Tc 98.00 Tc.upf
Mg 24.30 Mg.upf
ATOMIC_POSITIONS crystal
Hg 0.500 0.500 0.000
Hg 0.000 0.000 0.000
Tc 0.000 0.500 0.500
Mg 0.500 0.000 0.500
CELL_PARAMETERS angstrom
-0.086 -4.952 0.502
4.148 1.007 -2.562
1.592 0.244 2.674
```

Output
For the magnetization, the calculation gives 0.94 μB per formula unit. For the mass density, the calculation gives 11.662 g/cm³. As for the symmetry: Cmmm, No. 65. The value obtained for the density of states at the Fermi level is 1.9 states/eV per cell. The formation enthalpy at 0 K comes out at 0.30 eV per atom.



No. 2
Here is a relaxed CsAcMgCl6 crystal from the Alexandria database. Energies are from PBE. Values from VASP.

Geometry as Quantum ESPRESSO input:
```
&SYSTEM
  ibrav = 0, nat = 18, ntyp = 4
/
ATOMIC_SPECIES
Cl 35.45 Cl.upf
Cs 132.91 Cs.upf
Mg 24.30 Mg.upf
Ac 227.00 Ac.upf
ATOMIC_POSITIONS crystal
Cl 0.445 0.163 0.266
Cl 0.876 0.126 0.752
Cl 0.179 0.397 0.734
Cl 0.555 0.837 0.734
Cl 0.422 0.172 0.843
Cl 0.578 0.828 0.157
Cl 0.821 0.163 0.266
Cl 0.124 0.874 0.248
Cl 0.555 0.397 0.734
Cl 0.821 0.603 0.266
Cl 0.445 0.603 0.266
Cl 0.179 0.837 0.734
Cs 0.826 0.576 0.652
Cs 0.174 0.424 0.348
Mg 0.500 0.000 0.000
Mg 0.500 0.500 0.000
Ac 0.500 0.000 0.500
Ac 0.000 0.000 0.500
CELL_PARAMETERS angstrom
-5.060 8.230 -0.765
-4.963 -2.365 7.382
9.259 0.033 0.497
```

Output
For the magnetization, the calculation gives 0.00 μB per formula unit. For the mass density, the calculation gives 3.457 g/cm³. As for the symmetry: Imma, No. 74. Its uncorrected formation energy is -2.12 eV per atom. The value obtained for the density of states at the Fermi level is 0.0 states/eV per cell.



No. 3
Here is a relaxed Cs2Mg2Au crystal from the Alexandria database. Energies are from PBE. Values from VASP.

Geometry as Quantum ESPRESSO input:
```
&SYSTEM
  ibrav = 0, nat = 5, ntyp = 3
/
ATOMIC_SPECIES
Mg 24.30 Mg.upf
Cs 132.91 Cs.upf
Au 196.97 Au.upf
ATOMIC_POSITIONS crystal
Mg 0.319 0.319 0.362
Mg 0.681 0.681 0.638
Cs 0.750 0.250 0.500
Cs 0.250 0.750 0.500
Au 0.000 0.000 0.000
CELL_PARAMETERS angstrom
-5.761 4.824 -1.230
-4.720 -4.695 3.695
-4.374 2.014 4.817
```

Output
For the magnetization, the calculation gives 0.00 μB per formula unit. For the mass density, the calculation gives 3.511 g/cm³. As for the symmetry: I4/mmm, No. 139. The value obtained for the density of states at the Fermi level is 3.2 states/eV per cell. The formation enthalpy at 0 K comes out at 0.13 eV per atom.



No. 4
Here is a relaxed Tl2FeSeBr crystal from the Alexandria database. Energies are from PBE. Values from VASP.

Geometry as Quantum ESPRESSO input:
```
&SYSTEM
  ibrav = 0, nat = 5, ntyp = 4
/
ATOMIC_SPECIES
Br 79.90 Br.upf
Tl 204.38 Tl.upf
Se 78.96 Se.upf
Fe 55.84 Fe.upf
ATOMIC_POSITIONS crystal
Br 0.000 0.500 0.000
Tl 0.500 0.000 0.000
Tl 0.000 0.000 0.500
Se 0.500 0.500 0.500
Fe 0.000 0.000 0.000
CELL_PARAMETERS angstrom
-5.149 -0.835 -1.346
-0.588 -2.316 3.687
-1.410 4.501 2.603
```

Output
For the magnetization, the calculation gives 0.00 μB per formula unit. For the mass density, the calculation gives 8.119 g/cm³. As for the symmetry: P4/mmm, No. 123. Its uncorrected formation energy is 0.24 eV per atom. The value obtained for the density of states at the Fermi level is 4.8 states/eV per cell.



No. 5
Here is a relaxed CdTeSe crystal from the Alexandria database. Energies are from PBE. Values from VASP.

Geometry as Quantum ESPRESSO input:
```
&SYSTEM
  ibrav = 0, nat = 12, ntyp = 3
/
ATOMIC_SPECIES
Cd 112.41 Cd.upf
Te 127.60 Te.upf
Se 78.96 Se.upf
ATOMIC_POSITIONS crystal
Cd 0.474 0.500 0.895
Cd 0.803 0.000 0.156
Cd 0.474 0.000 0.395
Cd 0.803 0.500 0.656
Te 0.004 0.000 0.949
Te 0.176 0.500 0.019
Te 0.176 0.000 0.519
Te 0.004 0.500 0.449
Se 0.384 0.000 0.061
Se 0.714 0.000 0.459
Se 0.714 0.500 0.959
Se 0.384 0.500 0.561
CELL_PARAMETERS angstrom
11.244 0.000 -0.004
0.000 4.239 0.000
-0.899 0.000 7.698
```

Output
For the magnetization, the calculation gives 0.00 μB per formula unit. For the mass density, the calculation gives 5.775 g/cm³. As for the symmetry: Cm, No. 8. Its uncorrected formation energy is -0.30 eV per atom. The value obtained for the density of states at the Fermi level is 1.0 states/eV per cell.



No. 6
Here is a relaxed KMnCdBr6 crystal from the Alexandria database. Energies are from PBE. Values from VASP.

Geometry as Quantum ESPRESSO input:
```
&SYSTEM
  ibrav = 0, nat = 18, ntyp = 4
/
ATOMIC_SPECIES
Br 79.90 Br.upf
Mn 54.94 Mn.upf
Cd 112.41 Cd.upf
K 39.10 K.upf
ATOMIC_POSITIONS crystal
Br 0.975 0.361 0.145
Br 0.614 0.975 0.855
Br 0.025 0.386 0.645
Br 0.639 0.614 0.145
Br 0.975 0.614 0.355
Br 0.361 0.386 0.855
Br 0.025 0.639 0.855
Br 0.614 0.639 0.645
Br 0.386 0.361 0.355
Br 0.639 0.025 0.355
Br 0.386 0.025 0.145
Br 0.361 0.975 0.645
Mn 0.667 0.333 0.250
Mn 0.333 0.667 0.750
Cd 0.667 0.333 0.750
Cd 0.333 0.667 0.250
K 0.000 0.000 0.500
K 0.000 0.000 0.000
CELL_PARAMETERS angstrom
7.020 0.000 0.000
-3.510 6.080 0.000
0.000 0.000 14.470
```

Output
For the magnetization, the calculation gives 4.00 μB per formula unit. For the mass density, the calculation gives 3.688 g/cm³. As for the symmetry: P-31c, No. 163. Its uncorrected formation energy is -0.94 eV per atom. The value obtained for the density of states at the Fermi level is 12.7 states/eV per cell.